[1]
Below is an optimized crystal structure of TeAsBr2F, with properties calculated at the PBE level.

a b c (Å): 5.8321 5.8321 4.3751
angles (deg): 90.00 90.00 90.00
With the nearest neighbours (Å) after each atom.
Fractional positions:
1 Te 0.0000 0.0000 0.0000  2 F 2.19
2 As 0.5000 0.5000 0.5000  8 Br 3.65
3 Br 0.0000 0.5000 0.0000  2 Te 2.92
4 Br 0.5000 0.0000 0.0000  2 Te 2.92
5 F 0.0000 0.0000 0.5000  2 Te 2.19

## Properties
E in eV per atom: -2.608
E above lowest polymorph in eV per formula unit: 0.00
Energy relative to the elements, uncorrected in eV per atom: -0.01

=====

[2]
Below is an optimized crystal structure of Be2SbPb, with properties calculated at the PBE level.

a b c (Å): 4.9366 4.9366 4.9366
angles (deg): 60.00 60.00 60.00
With the nearest neighbours (Å) after each atom.
Fractional positions:
1 Be 0.0000 0.0000 0.0000  4 Pb 3.02, 4 Be 3.02
2 Be 0.2500 0.2500 0.2500  4 Sb 3.02, 4 Be 3.02
3 Sb 0.5000 0.5000 0.5000  4 Pb 3.02, 4 Be 3.02
4 Pb 0.7500 0.7500 0.7500  4 Sb 3.02, 4 Be 3.02

## Properties
E in eV per atom: -2.855
E above lowest polymorph in eV per formula unit: 2.66
Energy relative to the elements, uncorrected in eV per atom: 0.97

=====

[3]
Below is an optimized crystal structure of HgTeI, with properties calculated at the PBE level.

a b c (Å): 4.9148 4.9336 6.4470
angles (deg): 108.29 90.35 119.82
With the nearest neighbours (Å) after each atom.
Fractional positions:
1 Hg 0.0000 0.0000 0.0000  3 Te 2.85-2.98, 1 I 3.08
2 Te 0.6812 0.3614 0.0867  3 Hg 2.85-2.98, 1 I 3.15
3 I 0.6813 0.3616 0.5749  1 Hg 3.08, 2 Te 3.15-3.30

## Properties
E in eV per atom: -1.748
E above lowest polymorph in eV per formula unit: 0.36
Energy relative to the elements, uncorrected in eV per atom: -0.08

=====

[4]
Below is an optimized crystal structure of AlCd2P, with properties calculated at the PBE level.

a b c (Å): 2.9498 3.4811 7.9943
angles (deg): 90.00 93.63 90.00
With the nearest neighbours (Å) after each atom.
Fractional positions:
1 Al 0.0000 0.0000 0.0000  4 P 2.53-2.58
2 Cd 0.1313 0.5000 0.7082  6 Cd 2.95-3.21, 2 Al 2.96
3 Cd 0.5700 0.0000 0.4291  2 P 2.87, 6 Cd 2.95-3.21
4 P 0.5400 0.5000 0.1437  4 Al 2.53-2.58

## Properties
E in eV per atom: -2.670
E_form in eV/atom: 0.08
E above lowest polymorph in eV per formula unit: 0.47

=====

[5]
Below is an optimized crystal structure of Tl3C5, with properties calculated at the PBE level.

a b c (Å): 2.7153 2.7153 15.2651
angles (deg): 90.00 90.00 90.00
With the nearest neighbours (Å) after each atom.
Fractional positions:
1 Tl 0.0000 0.0000 0.0000  2 C 2.64, 4 Tl 2.72
2 Tl 0.5000 0.5000 0.3642  4 Tl 2.72, 5 C 2.80-2.83
3 Tl 0.5000 0.5000 0.6358  4 Tl 2.72, 5 C 2.80-2.83
4 C 0.0000 0.0000 0.1732  4 C 1.92
5 C 0.0000 0.0000 0.5000  4 C 2.72, 8 Tl 2.83
6 C 0.0000 0.0000 0.8268  4 C 1.92
7 C 0.5000 0.5000 0.1805  4 C 1.92
8 C 0.5000 0.5000 0.8195  4 C 1.92

## Properties
E in eV per atom: -4.006
E_form in eV/atom: 2.65
E above lowest polymorph in eV per formula unit: 13.83

=====

[6]
Below is an optimized crystal structure of Na4In2Au, with properties calculated at the PBE level.

a b c (Å): 6.1565 7.6264 9.5008
angles (deg): 75.70 73.99 67.18
With the nearest neighbours (Å) after each atom.
Fractional positions:
1 Na 0.0000 0.0000 0.0000  2 Au 3.10-3.11, 3 Na 3.11-3.39, 3 In 3.47-3.48
2 Na 0.0060 0.4047 0.5808  2 Au 3.10-3.11, 3 Na 3.11-3.39, 1 In 3.47
3 Na 0.0525 0.4551 0.9149  2 Au 3.09-3.22, 1 In 3.35, 1 Na 3.39
4 Na 0.4713 0.4266 0.1449  1 Au 3.08, 1 In 3.33
5 Na 0.4949 0.9667 0.0526  2 Au 2.99-3.09, 2 Na 3.11-3.13, 2 In 3.19-3.31
6 Na 0.5094 0.4410 0.5297  2 Au 2.99-3.09, 2 Na 3.11-3.12, 2 In 3.19-3.32
7 Na 0.5345 0.9792 0.4367  1 Au 3.08, 1 In 3.34
8 Na 0.9530 0.9492 0.6666  2 Au 3.09-3.23, 1 In 3.35, 1 Na 3.39
9 In 0.0015 0.2029 0.2915  2 In 2.90-2.91
10 In 0.1577 0.7849 0.3413  2 In 2.90-3.10, 1 Na 3.19
11 In 0.5022 0.7029 0.7916  2 Au 2.76
12 In 0.8477 0.6210 0.2390  2 In 2.91-3.10, 1 Na 3.19
13 Au 0.3975 0.0963 0.7455  1 In 2.76, 1 Au 2.83, 4 Na 2.99-3.09
14 Au 0.6085 0.3096 0.8360  1 In 2.76, 1 Au 2.83, 3 Na 2.99-3.09

## Properties
E in eV per atom: -2.166
E_form in eV/atom: -0.16

=====

[7]
Below is an optimized crystal structure of Ni2WCl, with properties calculated at the PBE level.

a b c (Å): 4.7073 4.7073 4.7073
angles (deg): 133.11 133.11 68.48
With the nearest neighbours (Å) after each atom.
Fractional positions:
1 Ni 0.2500 0.7500 0.5000  4 Ni 2.65, 4 Cl 2.70, 4 W 2.70
2 Ni 0.7500 0.2500 0.5000  4 Ni 2.65, 4 Cl 2.70, 4 W 2.70
3 W 0.0000 0.0000 0.0000  4 Cl 2.65, 8 Ni 2.70
4 Cl 0.5000 0.5000 0.0000  4 W 2.65, 8 Ni 2.70

## Properties
E in eV per atom: -5.640
E above lowest polymorph in eV per formula unit: 3.21
Energy relative to the elements, uncorrected in eV per atom: 0.95

=====

[8]
Below is an optimized crystal structure of ZrSc2GaW, with properties calculated at the PBE level.

a b c (Å): 4.9097 4.9097 4.8024
angles (deg): 90.00 90.00 90.00
With the nearest neighbours (Å) after each atom.
Fractional positions:
1 Zr 0.0000 0.0000 0.0000  8 Sc 3.43, 4 W 3.47
2 Sc 0.0000 0.5000 0.5000  2 Ga 2.45
3 Sc 0.5000 0.0000 0.5000  2 Ga 2.45
4 Ga 0.5000 0.5000 0.5000  2 W 2.40, 4 Sc 2.45
5 W 0.5000 0.5000 0.0000  2 Ga 2.40

## Properties
E in eV per atom: -6.744
E_form in eV/atom: 0.69

=====

Q: The highest E belongs to which entry?
A: HgTeI